Entry from the Alexandria database: K2TcH2 after structural relaxation (PBE).

```
data_K2TcH2
_chemical_formula_sum 'K4 Tc2 H4'
_cell_length_a 8.281
_cell_length_b 8.281
_cell_length_c 2.994
_cell_angle_alpha 90.00
_cell_angle_beta 90.00
_cell_angle_gamma 90.00
_symmetry_space_group_name_H-M 'P 1'
_symmetry_Int_Tables_number 1
_symmetry_space_group_name_Hall 'P 1'
loop_
_atom_site_label
_atom_site_type_symbol
_atom_site_fract_x
_atom_site_fract_y
_atom_site_fract_z
_atom_site_occupancy
H1 H 0.151 0.651 0.500 1
H2 H 0.651 0.849 0.500 1
H3 H 0.849 0.349 0.500 1
H4 H 0.349 0.151 0.500 1
K1 K 0.357 0.857 0.000 1
K2 K 0.857 0.643 0.000 1
K3 K 0.643 0.143 0.000 1
K4 K 0.143 0.357 0.000 1
Tc1 Tc 0.000 0.000 0.000 1
Tc2 Tc 0.500 0.500 0.000 1
```

Output
Mass density, g/cm³: 2.883
Total energy, eV/atom: -2.82